First-principles (PBE) data for an optimized crystal structure of AlP2, as listed in the Alexandria database.

Properties
**Formation enthalpy at 0 K**: 0.253 eV/atom
**N(E_F)**: 0.74 states/eV per cell

Lattice parameters (Å, degrees): 2.957 2.957 7.396 90.00 90.00 120.00
Atoms (fractional coordinates):
P  0.667  0.333  0.752
P  0.333  0.667  0.248
Al  0.000  0.000  0.000